[1]
SnIBr (GGA-PBE, optimized geometry); V = 42.404 Å³ per atom; SG = C2/m; spin magnetization = 0.0 μB/f.u.; crystal system = monoclinic; D(E_F) = 0.0 states/eV per cell; E_form (uncorrected) = -0.633 eV per atom
1.0
-0.503 1.222 4.282
-2.095 -7.454 -0.463
7.656 -0.793 1.126
Sn I Br
2 2 2
direct
0.750 0.500 0.243 Sn
0.250 0.500 0.757 Sn
0.878 0.756 0.637 I
0.122 0.244 0.363 I
0.638 0.276 0.886 Br
0.362 0.724 0.114 Br



[2]
LaMn2Cd (GGA-PBE, optimized geometry); V = 21.336 Å³ per atom; SG = P4/mmm; spin magnetization = 7.1 μB/f.u.; crystal system = tetragonal; D(E_F) = 3.4 states/eV per cell; DFT formation energy = 314 meV per atom
1.0
3.359 0.783 0.000
-0.783 3.359 0.000
0.000 0.000 7.173
Cd La Mn
1 1 2
direct
0.500 0.500 0.250 Cd
0.500 0.500 0.750 La
0.000 0.000 0.042 Mn
0.000 0.000 0.458 Mn



[3]
FeAgPb4 (GGA-PBE, optimized geometry); V = 30.101 Å³ per atom; SG = F-43m; spin magnetization = 3.2 μB/f.u.; crystal system = cubic; D(E_F) = 7.1 states/eV per cell; DFT formation energy = 768 meV per atom
1.0
2.373 -4.702 -3.538
3.322 -4.663 2.735
-2.464 -5.832 0.409
Fe Ag Pb
1 1 4
direct
0.000 0.000 0.000 Fe
0.750 0.750 0.750 Ag
0.875 0.375 0.375 Pb
0.375 0.375 0.875 Pb
0.375 0.875 0.375 Pb
0.375 0.375 0.375 Pb



[4]
Pr3Ag2Rh (GGA-PBE, optimized geometry); V = 25.502 Å³ per atom; SG = P2/m; spin magnetization = 0.0 μB/f.u.; crystal system = monoclinic; excess energy over the best structure of this formula in the dataset = 0 meV per atom; D(E_F) = 10.7 states/eV per cell; DFT formation energy = -373 meV per atom
1.0
5.219 -0.009 0.022
2.596 7.784 0.011
-0.032 0.000 7.529
Pr Ag Rh
6 4 2
direct
0.826 0.348 0.769 Pr
0.500 0.000 0.239 Pr
0.174 0.652 0.231 Pr
0.825 0.348 0.231 Pr
0.175 0.652 0.769 Pr
0.500 0.000 0.761 Pr
0.000 0.000 0.000 Ag
0.000 0.000 0.500 Ag
0.333 0.331 0.500 Ag
0.667 0.669 0.500 Ag
0.343 0.313 0.000 Rh
0.657 0.687 0.000 Rh



[5]
AgSnRhAu (GGA-PBE, optimized geometry); V = 17.678 Å³ per atom; SG = F-43m; spin magnetization = 0.0 μB/f.u.; crystal system = cubic; D(E_F) = 2.7 states/eV per cell; DFT formation energy = -65 meV per atom
1.0
-4.358 -1.599 0.021
-1.743 -1.935 3.842
-3.273 2.215 2.435
Rh Au Sn Ag
1 1 1 1
direct
0.500 0.500 0.500 Rh
0.000 0.000 0.000 Au
0.250 0.250 0.250 Sn
0.750 0.750 0.750 Ag



[6]
Pm4Dy2MgSc (GGA-PBE, optimized geometry); V = 30.839 Å³ per atom; SG = P2/m; spin magnetization = 0.0 μB/f.u.; crystal system = monoclinic; D(E_F) = 11.0 states/eV per cell; DFT formation energy = 18 meV per atom
1.0
5.029 0.000 0.000
0.000 4.929 1.006
0.000 2.988 10.563
Pm Dy Mg Sc
4 2 1 1
direct
0.000 0.751 0.749 Pm
0.000 0.249 0.251 Pm
0.500 0.748 0.251 Pm
0.500 0.252 0.749 Pm
0.000 0.000 0.000 Dy
0.500 0.000 0.500 Dy
0.500 0.500 0.000 Mg
0.000 0.500 0.500 Sc



[7]
Na2Pb2Br (GGA-PBE, optimized geometry); V = 31.545 Å³ per atom; SG = P4/mbm; spin magnetization = 0.0 μB/f.u.; crystal system = tetragonal; D(E_F) = 4.3 states/eV per cell; E_form (uncorrected) = -0.269 eV per atom
1.0
9.107 0.000 0.000
0.000 9.107 0.000
0.000 0.000 3.803
Pb Na Br
4 4 2
direct
0.114 0.614 0.500 Pb
0.614 0.886 0.500 Pb
0.886 0.386 0.500 Pb
0.386 0.114 0.500 Pb
0.311 0.811 0.000 Na
0.811 0.689 0.000 Na
0.689 0.189 0.000 Na
0.189 0.311 0.000 Na
0.000 0.000 0.000 Br
0.500 0.500 0.000 Br



[8]
CdSbRhAu2 (GGA-PBE, optimized geometry); V = 25.266 Å³ per atom; SG = P4/mmm; spin magnetization = 0.0 μB/f.u.; crystal system = tetragonal; D(E_F) = 3.3 states/eV per cell; E_form (uncorrected) = 0.891 eV per atom
1.0
5.027 0.000 0.000
0.000 5.000 0.000
0.000 0.000 5.027
Sb Au Rh Cd
1 2 1 1
direct
0.500 0.500 0.500 Sb
0.000 0.000 0.500 Au
0.500 0.000 0.000 Au
0.000 0.500 0.000 Rh
0.000 0.000 0.000 Cd



[9]
RhPb4 (GGA-PBE, optimized geometry); V = 30.465 Å³ per atom; SG = Pm-3m; spin magnetization = 0.0 μB/f.u.; crystal system = cubic; D(E_F) = 2.7 states/eV per cell; DFT formation energy = 97 meV per atom
1.0
5.341 0.000 0.000
0.000 5.341 0.000
0.000 0.000 5.341
Pb Rh
4 1
direct
0.000 0.000 0.000 Pb
0.500 0.000 0.500 Pb
0.000 0.500 0.500 Pb
0.500 0.500 0.000 Pb
0.500 0.500 0.500 Rh



[10]
TbNd2HoTe6 (GGA-PBE, optimized geometry); V = 37.691 Å³ per atom; SG = R3; spin magnetization = 0.0 μB/f.u.; crystal system = trigonal; E_form (uncorrected) = -1.371 eV per atom
1.0
-1.130 3.956 -6.673
3.604 -2.291 -6.573
-4.671 -3.635 -5.969
Tb Nd Ho Te
1 2 1 6
direct
0.823 0.823 0.530 Tb
0.514 0.514 0.459 Nd
0.013 0.013 0.960 Nd
0.324 0.324 0.029 Ho
0.595 0.216 0.256 Te
0.216 0.933 0.256 Te
0.933 0.595 0.256 Te
0.431 0.715 0.757 Te
0.715 0.098 0.757 Te
0.098 0.431 0.757 Te



[11]
Li2TlTc (GGA-PBE, optimized geometry); V = 16.975 Å³ per atom; SG = Cm; spin magnetization = 0.0 μB/f.u.; crystal system = monoclinic; excess energy over the best structure of this formula in the dataset = 25 meV per atom; D(E_F) = 1.8 states/eV per cell; DFT formation energy = 305 meV per atom
1.0
5.416 0.109 0.781
4.647 2.783 0.781
1.603 0.461 4.911
Li Tc Tl
2 1 1
direct
0.003 0.003 0.092 Li
0.245 0.245 0.159 Li
0.500 0.500 0.602 Tc
0.753 0.753 0.648 Tl



[12]
Tl8AuSe2 (GGA-PBE, optimized geometry); V = 30.910 Å³ per atom; SG = C2/m; spin magnetization = 0.0 μB/f.u.; crystal system = monoclinic; D(E_F) = 4.1 states/eV per cell; E_form (uncorrected) = -0.165 eV per atom
1.0
-0.369 -4.039 -1.069
5.713 -1.477 3.611
-4.060 -0.499 11.516
Tl Au Se
8 1 2
direct
0.596 0.585 0.191 Tl
0.365 0.953 0.731 Tl
0.225 0.265 0.449 Tl
0.974 0.738 0.948 Tl
0.775 0.735 0.551 Tl
0.635 0.047 0.269 Tl
0.404 0.415 0.809 Tl
0.026 0.262 0.052 Tl
0.500 0.000 0.000 Au
0.177 0.718 0.355 Se
0.823 0.282 0.645 Se